Record 1
# Li2InBr2Cl (PBE, relaxed)
data_Li2InBr2Cl
_cell_length_a 7.478
_cell_length_b 6.035
_cell_length_c 8.244
_cell_angle_alpha 90.00
_cell_angle_beta 101.35
_cell_angle_gamma 90.00
_space_group_name_H-M_alt 'P 1 21/m 1'
_space_group_IT_number 11
loop_
_space_group_symop_operation_xyz
'x,y,z'
'-x,-y,-z'
'-x,y+1/2,-z'
'x,-y+1/2,z'
loop_
_atom_site_label
_atom_site_type_symbol
_atom_site_fract_x
_atom_site_fract_y
_atom_site_fract_z
Li1 Li 0.135 0.001 0.165
In1 In 0.315 0.750 0.606
Br1 Br 0.122 0.250 0.408
Br2 Br 0.403 0.750 0.253
Cl1 Cl 0.110 0.250 0.937
# Formation energy (no corrections) ... -1287 meV per atom
# Volume ... 364.8 Å³ per cell



Record 2
# MgIn2BrCl (PBE, relaxed)
data_MgIn2BrCl
_cell_length_a 5.567
_cell_length_b 5.567
_cell_length_c 6.744
_cell_angle_alpha 90.00
_cell_angle_beta 90.00
_cell_angle_gamma 90.00
_space_group_name_H-M_alt 'P 4/m m m'
_space_group_IT_number 123
_space_group_name_Hall '-P 4 2'
loop_
_atom_site_label
_atom_site_type_symbol
_atom_site_fract_x
_atom_site_fract_y
_atom_site_fract_z
Mg1 Mg 0.000 0.000 0.000
In1 In 0.000 0.500 0.500
Br1 Br 0.500 0.500 0.000
Cl1 Cl 0.500 0.500 0.500
# Formation energy (no corrections) ... -9 meV per atom
# Volume ... 209.0 Å³ per cell



Record 3
# MgInBr2Cl (PBE, relaxed)
data_MgInBr2Cl
_cell_length_a 7.585
_cell_length_b 7.585
_cell_length_c 9.930
_cell_angle_alpha 90.00
_cell_angle_beta 90.00
_cell_angle_gamma 90.00
_space_group_name_H-M_alt 'I 4/m c m'
_space_group_IT_number 140
_space_group_name_Hall '-I 4 2c'
loop_
_atom_site_label
_atom_site_type_symbol
_atom_site_fract_x
_atom_site_fract_y
_atom_site_fract_z
Mg1 Mg 0.000 0.000 0.000
In1 In 0.000 0.500 0.250
Br1 Br 0.214 0.286 0.000
Cl1 Cl 0.000 0.000 0.250
# Formation energy (no corrections) ... -1195 meV per atom
# Volume ... 571.4 Å³ per cell



Record 4
# MnIn2Br3Cl (PBE, relaxed)
data_MnIn2Br3Cl
_cell_length_a 4.977
_cell_length_b 5.336
_cell_length_c 16.657
_cell_angle_alpha 90.00
_cell_angle_beta 90.00
_cell_angle_gamma 90.00
_space_group_name_H-M_alt 'I m m m'
_space_group_IT_number 71
_space_group_name_Hall '-I 2 2'
loop_
_atom_site_label
_atom_site_type_symbol
_atom_site_fract_x
_atom_site_fract_y
_atom_site_fract_z
Mn1 Mn 0.000 0.000 0.000
In1 In 0.000 0.000 0.357
Br1 Br 0.000 0.000 0.162
Br2 Br 0.000 0.500 0.000
Cl1 Cl 0.000 0.500 0.500
# Formation energy (no corrections) ... -739 meV per atom
# Volume ... 442.4 Å³ per cell



Record 5
# MnIn5Br4Cl2 (PBE, relaxed)
data_MnIn5Br4Cl2
_cell_length_a 8.288
_cell_length_b 17.797
_cell_length_c 6.144
_cell_angle_alpha 90.00
_cell_angle_beta 90.00
_cell_angle_gamma 90.00
_space_group_name_H-M_alt 'A m m 2'
_space_group_IT_number 38
loop_
_space_group_symop_operation_xyz
'x,y,z'
'-x,-y,z'
'-x,y,z'
'x,-y,z'
'x,y+1/2,z+1/2'
'-x,-y+1/2,z+1/2'
'-x,y+1/2,z+1/2'
'x,-y+1/2,z+1/2'
loop_
_atom_site_label
_atom_site_type_symbol
_atom_site_fract_x
_atom_site_fract_y
_atom_site_fract_z
Mn1 Mn 0.000 0.000 0.000
In1 In 0.213 0.250 0.224
In2 In 0.500 0.000 0.193
Br1 Br 0.000 0.110 0.269
Br2 Br 0.258 0.000 0.803
Cl1 Cl 0.500 0.175 0.231
# Formation energy (no corrections) ... -613 meV per atom
# Volume ... 906.2 Å³ per cell



Record 6
# MnIn2Br2Cl2 (PBE, relaxed)
data_MnIn2Br2Cl2
_cell_length_a 3.878
_cell_length_b 6.966
_cell_length_c 8.491
_cell_angle_alpha 114.20
_cell_angle_beta 103.16
_cell_angle_gamma 90.04
_space_group_name_H-M_alt 'P -1'
_space_group_IT_number 2
loop_
_space_group_symop_operation_xyz
'x,y,z'
'-x,-y,-z'
loop_
_atom_site_label
_atom_site_type_symbol
_atom_site_fract_x
_atom_site_fract_y
_atom_site_fract_z
Mn1 Mn 0.000 0.000 0.000
In1 In 0.156 0.654 0.309
Br1 Br 0.181 0.182 0.363
Cl1 Cl 0.500 0.240 0.000
# Formation energy (no corrections) ... -796 meV per atom
# Volume ... 202.6 Å³ per cell



Please write out number 2 again, unchanged.
# MgIn2BrCl (PBE, relaxed)
data_MgIn2BrCl
_cell_length_a 5.567
_cell_length_b 5.567
_cell_length_c 6.744
_cell_angle_alpha 90.00
_cell_angle_beta 90.00
_cell_angle_gamma 90.00
_space_group_name_H-M_alt 'P 4/m m m'
_space_group_IT_number 123
_space_group_name_Hall '-P 4 2'
loop_
_atom_site_label
_atom_site_type_symbol
_atom_site_fract_x
_atom_site_fract_y
_atom_site_fract_z
Mg1 Mg 0.000 0.000 0.000
In1 In 0.000 0.500 0.500
Br1 Br 0.500 0.500 0.000
Cl1 Cl 0.500 0.500 0.500
# Formation energy (no corrections) ... -9 meV per atom
# Volume ... 209.0 Å³ per cell



Q: Look up the volume of the second one.
A: 209.0 Å³ per cell



Q: formation energy (no corrections) of number 6 (MnIn2Br2Cl2)?
A: -796 meV per atom



Q: What is the volume in the fourth record?
A: 442.4 Å³ per cell